1.
Computed, not measured: a relaxed structure of AlZn2GaCl at the PBE-GGA level of DFT.

Computed properties:
Uncorrected formation energy   0.14 eV per atom
Total magnetization   0.00 μB/f.u.
DFT total energy   -2.091 eV per atom
ρ   3.47 g cm⁻³

Unit cell a=4.977 b=4.977 c=5.080 alpha=90.00 beta=90.00 gamma=90.00
Space group P4/mmm (No. 123)
Inequivalent atoms, fractional coordinates:
Al 0.000 0.000 0.000 (multiplicity 1)
Zn 0.000 0.500 0.000 (multiplicity 2)
Ga 0.500 0.500 0.500 (multiplicity 1)
Cl 0.000 0.000 0.500 (multiplicity 1)

2.
Computed, not measured: a relaxed structure of SiB2PC at the PBE-GGA level of DFT.

Computed properties:
Uncorrected formation energy   0.41 eV per atom
Total magnetization   0.00 μB/f.u.
Energy above the most stable polymorph in this dataset   28.9 kJ per mole of atoms
DFT total energy   -6.271 eV per atom
ρ   3.00 g cm⁻³

Unit cell a=3.0159 b=3.0159 c=19.5164 alpha=90.00 beta=90.00 gamma=120.00
Space group R3m (No. 160, hexagonal axes)
Inequivalent atoms, fractional coordinates:
Si 0.0000 0.0000 0.0000 (multiplicity 3)
B 0.0000 0.0000 0.1879 (multiplicity 3)
B 0.0000 0.0000 0.8977 (multiplicity 3)
P 0.0000 0.0000 0.7985 (multiplicity 3)
C 0.0000 0.0000 0.7018 (multiplicity 3)

3.
Computed, not measured: a relaxed structure of Cs2BaCoH6 at the PBE-GGA level of DFT.

Computed properties:
Total magnetization   0.53 μB/f.u.
DFT total energy   -3.316 eV per atom
ρ   3.36 g cm⁻³

Unit cell a=6.4146 b=6.4146 c=6.4908 alpha=90.00 beta=90.00 gamma=120.00
Space group P-3m1 (No. 164)
Inequivalent atoms, fractional coordinates:
Cs 0.3333 0.6667 0.1138 (multiplicity 2)
Ba 0.0000 0.0000 0.5000 (multiplicity 1)
Co 0.0000 0.0000 0.0000 (multiplicity 1)
H 0.1151 0.2302 0.8595 (multiplicity 6)

4.
Computed, not measured: a relaxed structure of PmTmTlAg at the PBE-GGA level of DFT.

Computed properties:
Formation energy   -0.334 eV/atom
Total magnetization   0.19 μB/f.u.
Energy above the most stable polymorph in this dataset   0.0 kJ per mole of atoms
DFT total energy   -3.944 eV per atom
ρ   9.94 g cm⁻³

Unit cell a=3.662 b=3.662 c=7.801 alpha=90.00 beta=90.00 gamma=90.00
Space group P4mm (No. 99)
Inequivalent atoms, fractional coordinates:
Pm 0.000 0.000 0.000 (multiplicity 1)
Tm 0.000 0.000 0.531 (multiplicity 1)
Tl 0.500 0.500 0.274 (multiplicity 1)
Ag 0.500 0.500 0.738 (multiplicity 1)

5.
Computed, not measured: a relaxed structure of U4P3Se at the PBE-GGA level of DFT.

Computed properties:
Uncorrected formation energy   -0.98 eV per atom
Total magnetization   8.79 μB/f.u.
DFT total energy   -9.089 eV per atom
ρ   10.58 g cm⁻³

Unit cell a=3.965 b=5.605 c=7.934 alpha=90.00 beta=90.00 gamma=90.00
Space group Pmmm (No. 47)
Inequivalent atoms, fractional coordinates:
U 0.000 0.000 0.000 (multiplicity 1)
U 0.000 0.000 0.500 (multiplicity 1)
U 0.500 0.500 0.239 (multiplicity 2)
P 0.000 0.500 0.000 (multiplicity 1)
P 0.500 0.000 0.250 (multiplicity 2)
Se 0.000 0.500 0.500 (multiplicity 1)

6.
Computed, not measured: a relaxed structure of AcEr2Lu at the PBE-GGA level of DFT.

Computed properties:
Formation energy   0.077 eV/atom
Total magnetization   0.10 μB/f.u.
Energy above the most stable polymorph in this dataset   0.0 kJ per mole of atoms
DFT total energy   -4.361 eV per atom
ρ   9.13 g cm⁻³

Unit cell a=5.085 b=5.085 c=5.181 alpha=90.00 beta=90.00 gamma=90.00
Space group P4/mmm (No. 123)
Inequivalent atoms, fractional coordinates:
Ac 0.000 0.000 0.000 (multiplicity 1)
Er 0.000 0.500 0.500 (multiplicity 2)
Lu 0.500 0.500 0.000 (multiplicity 1)

7.
Computed, not measured: a relaxed structure of Pm4Mg5Tl at the PBE-GGA level of DFT.

Computed properties:
Formation energy   -0.152 eV/atom
Total magnetization   0.00 μB/f.u.
DFT total energy   -3.086 eV per atom
ρ   5.41 g cm⁻³

Unit cell a=16.304 b=5.312 c=6.691 alpha=90.00 beta=106.25 gamma=90.00
Space group C2/m (No. 12)
Inequivalent atoms, fractional coordinates:
Pm 0.098 0.000 0.390 (multiplicity 4)
Pm 0.193 0.500 0.814 (multiplicity 4)
Mg 0.000 0.500 0.000 (multiplicity 2)
Mg 0.097 0.000 0.915 (multiplicity 4)
Mg 0.201 0.500 0.308 (multiplicity 4)
Tl 0.000 0.500 0.500 (multiplicity 2)

8.
Computed, not measured: a relaxed structure of Nb2VFeH at the PBE-GGA level of DFT.

Computed properties:
Total magnetization   1.19 μB/f.u.
Energy above the most stable polymorph in this dataset   0.0 kJ per mole of atoms
DFT total energy   -8.259 eV per atom
ρ   7.71 g cm⁻³

Unit cell a=4.387 b=4.387 c=3.286 alpha=90.00 beta=90.00 gamma=90.00
Space group P4/mmm (No. 123)
Inequivalent atoms, fractional coordinates:
Nb 0.000 0.500 0.000 (multiplicity 2)
V 0.000 0.000 0.500 (multiplicity 1)
Fe 0.500 0.500 0.500 (multiplicity 1)
H 0.500 0.500 0.000 (multiplicity 1)

9.
Computed, not measured: a relaxed structure of Ce2PuPaN4 at the PBE-GGA level of DFT.

Computed properties:
Uncorrected formation energy   -1.50 eV per atom
Total magnetization   5.58 μB/f.u.
DFT total energy   -10.126 eV per atom
ρ   10.78 g cm⁻³

Unit cell a=6.107 b=3.535 c=6.139 alpha=90.00 beta=109.48 gamma=90.00
Space group P2/m (No. 10)
Inequivalent atoms, fractional coordinates:
Ce 0.000 0.000 0.000 (multiplicity 1)
Ce 0.500 0.500 0.000 (multiplicity 1)
Pu 0.000 0.500 0.500 (multiplicity 1)
Pa 0.500 0.000 0.500 (multiplicity 1)
N 0.253 0.000 0.734 (multiplicity 2)
N 0.266 0.500 0.270 (multiplicity 2)

10.
Computed, not measured: a relaxed structure of Ca2In5Cu2Rh at the PBE-GGA level of DFT.

Computed properties:
Formation energy   -0.230 eV/atom
Total magnetization   0.00 μB/f.u.
DFT total energy   -3.554 eV per atom
ρ   6.76 g cm⁻³

Unit cell a=10.890 b=10.890 c=3.663 alpha=90.00 beta=90.00 gamma=90.00
Space group P4/mbm (No. 127)
Inequivalent atoms, fractional coordinates:
Ca 0.176 0.324 0.000 (multiplicity 4)
In 0.000 0.500 0.500 (multiplicity 2)
In 0.060 0.807 0.500 (multiplicity 8)
Cu 0.130 0.630 0.000 (multiplicity 4)
Rh 0.000 0.000 0.000 (multiplicity 2)

11.
Computed, not measured: a relaxed structure of RbBeMo3 at the PBE-GGA level of DFT.

Computed properties:
Formation energy   3.490 eV/atom
Total magnetization   0.00 μB/f.u.
Energy above the most stable polymorph in this dataset   159.7 kJ per mole of atoms
DFT total energy   -3.948 eV per atom
ρ   6.32 g cm⁻³

Unit cell a=4.648 b=4.648 c=4.648 alpha=90.00 beta=90.00 gamma=90.00
Space group Pm-3m (No. 221)
Inequivalent atoms, fractional coordinates:
Rb 0.000 0.000 0.000 (multiplicity 1)
Be 0.500 0.500 0.500 (multiplicity 1)
Mo 0.000 0.000 0.500 (multiplicity 3)

12.
Computed, not measured: a relaxed structure of GeTeAuO6 at the PBE-GGA level of DFT.

Computed properties:
Uncorrected formation energy   -0.83 eV per atom
Total magnetization   0.23 μB/f.u.
DFT total energy   -5.357 eV per atom
ρ   7.25 g cm⁻³

Unit cell a=5.1580 b=5.1580 c=9.8063 alpha=90.00 beta=90.00 gamma=120.00
Space group P-31c (No. 163)
Inequivalent atoms, fractional coordinates:
Ge 0.3333 0.6667 0.2500 (multiplicity 2)
Te 0.3333 0.6667 0.7500 (multiplicity 2)
Au 0.0000 0.0000 0.0000 (multiplicity 2)
O 0.0052 0.3729 0.1415 (multiplicity 12)

13.
Computed, not measured: a relaxed structure of LiCa2Fe at the PBE-GGA level of DFT.

Computed properties:
Formation energy   0.375 eV/atom
Total magnetization   2.39 μB/f.u.
DFT total energy   -3.220 eV per atom
ρ   2.31 g cm⁻³

Unit cell a=3.511 b=3.511 c=8.322 alpha=90.00 beta=90.00 gamma=90.00
Space group P4mm (No. 99)
Inequivalent atoms, fractional coordinates:
Li 0.000 0.000 0.000 (multiplicity 1)
Ca 0.000 0.000 0.636 (multiplicity 1)
Ca 0.500 0.500 0.260 (multiplicity 1)
Fe 0.500 0.500 0.870 (multiplicity 1)